1) Y2MnCr, relaxed, DFT PBE; symmetry = I-42d, No. 122; size of the total moment = 1.5311 μB per atom
1.0
-6.073 3.606 -3.201
-3.831 -6.734 -0.317
-6.133 -1.026 1.088
Y Cr Mn
4 2 2
direct
0.122 0.625 0.250 Y
0.375 0.372 0.750 Y
0.875 0.878 0.750 Y
0.628 0.125 0.250 Y
0.250 0.750 0.500 Cr
0.500 0.500 0.000 Cr
0.750 0.250 0.500 Mn
0.000 0.000 0.000 Mn

---

2) Y2MnCr, relaxed, DFT PBE; symmetry = F-43m, No. 216; size of the total moment = 2.0772 μB per atom
1.0
-1.306 -4.185 -2.521
2.880 -4.145 0.317
-1.671 -4.053 2.521
Cr Mn Y
1 1 2
direct
0.500 0.500 0.500 Cr
0.750 0.750 0.750 Mn
0.250 0.250 0.250 Y
0.000 0.000 0.000 Y

---

Verdict on stability: 1) comes out at the bottom.